Entry 1:
A plane-wave DFT calculation with PBE was carried out for crystalline ScTlPCl2 at its relaxed geometry.

Properties
SG: P4/mmm
Energy relative to the lowest polymorph listed for this composition (meV/atom): 0

a = 4.9594 Å, b = 4.9594 Å, c = 5.3144 Å
α = 90.00°, β = 90.00°, γ = 90.00°
Fractional positions:
Cl 0.0000 0.5000 0.0000
Cl 0.5000 0.0000 0.0000
Sc 0.0000 0.0000 0.0000
Tl 0.5000 0.5000 0.5000
P 0.0000 0.0000 0.5000



Entry 2:
A plane-wave DFT calculation with PBE was carried out for crystalline ScVPCl2 at its relaxed geometry.

Properties
SG: P4/mmm
Energy relative to the lowest polymorph listed for this composition (meV/atom): 84

a = 4.7865 Å, b = 4.7865 Å, c = 5.3240 Å
α = 90.00°, β = 90.00°, γ = 90.00°
Last column: magnetic moment on the atom in μB.
Fractional positions:
P 0.0000 0.0000 0.5000  -0.16
Sc 0.0000 0.0000 0.0000  -0.01
Cl 0.0000 0.5000 0.0000  0.00
Cl 0.5000 0.0000 0.0000  0.00
V 0.5000 0.5000 0.5000  2.94



Entry 3:
A plane-wave DFT calculation with PBE was carried out for crystalline ScVPCl2 at its relaxed geometry.

Properties
SG: P4/mmm
Energy relative to the lowest polymorph listed for this composition (meV/atom): 0

a = 4.5895 Å, b = 4.5895 Å, c = 5.0317 Å
α = 90.00°, β = 90.00°, γ = 90.00°
Last column: magnetic moment on the atom in μB.
Fractional positions:
P 0.0000 0.0000 0.5000  -0.09
Cl 0.0000 0.5000 0.0000  0.00
Cl 0.5000 0.0000 0.0000  0.00
V 0.0000 0.0000 0.0000  2.09
Sc 0.5000 0.5000 0.5000  0.53



Entry 4:
A plane-wave DFT calculation with PBE was carried out for crystalline Sc2VPCl at its relaxed geometry.

Properties
SG: P4/mmm

a = 4.9739 Å, b = 4.9007 Å, c = 4.9739 Å
α = 90.00°, β = 90.00°, γ = 90.00°
Last column: magnetic moment on the atom in μB.
Fractional positions:
V 0.5000 0.5000 0.5000  0.19
P 0.0000 0.0000 0.0000  -0.01
Sc 0.5000 0.0000 0.0000  -0.01
Sc 0.0000 0.0000 0.5000  0.00
Cl 0.0000 0.5000 0.0000  0.00



Entry 5:
A plane-wave DFT calculation with PBE was carried out for crystalline YScP2Cl at its relaxed geometry.

Properties
SG: P4/mmm
Energy relative to the lowest polymorph listed for this composition (meV/atom): 0

a = 4.9727 Å, b = 4.9727 Å, c = 4.7527 Å
α = 90.00°, β = 90.00°, γ = 90.00°
Fractional positions:
Y 0.5000 0.5000 0.5000
P 0.5000 0.0000 0.0000
P 0.0000 0.5000 0.0000
Cl 0.0000 0.0000 0.5000
Sc 0.0000 0.0000 0.0000



Entry 6:
A plane-wave DFT calculation with PBE was carried out for crystalline YScP2Cl at its relaxed geometry.

Properties
SG: P4/mmm
Energy relative to the lowest polymorph listed for this composition (meV/atom): 495

a = 5.2720 Å, b = 5.2720 Å, c = 4.9806 Å
α = 90.00°, β = 90.00°, γ = 90.00°
Fractional positions:
Sc 0.5000 0.5000 0.5000
P 0.5000 0.0000 0.0000
P 0.0000 0.5000 0.0000
Y 0.0000 0.0000 0.0000
Cl 0.0000 0.0000 0.5000



The evaluated total magnetic moment for the records listed, in turn: 0.0 3.0 3.0 0.2 0.0 0.0 μB per formula unit.
The evaluated raw formation energy for the records listed, in turn: -0.976 -0.353 -0.436 0.552 -0.789 -0.294 eV per atom.
The evaluated E_tot for the records listed, in turn: -4.536 -5.263 -5.347 -5.255 -5.882 -5.387 eV/atom.